This record from Alexandria via LeMat-Bulk describes a relaxed PdBr2O crystal. The functional is PBE.

Results
Total moment   0.00 μB per formula unit
Uncorrected formation energy   559.2 meV/atom
Mass density   5.38 g cm⁻³
Crystal system   tetragonal

a = 5.163 Å, b = 5.163 Å, c = 13.071 Å
α = 90.00°, β = 90.00°, γ = 90.00°
Space group I-42d (No. 122)
Asymmetric unit:
1 Pd 0.000 0.000 0.000 (multiplicity 4)
2 Br 0.208 0.250 0.625 (multiplicity 8)
3 O 0.000 0.000 0.500 (multiplicity 4)